Below is crystalline Hg3BN at its relaxed geometry, with properties calculated at the GGA-PBE level.

Geometry as extended XYZ:
```
5
Lattice="4.633 0.000 0.000 0.000 4.633 0.000 0.000 0.000 4.633" Properties=species:S:1:pos:R:3 pbc="T T T"
Hg 0.000 0.000 2.316
Hg 0.000 2.316 0.000
Hg 2.316 0.000 0.000
B 0.000 0.000 0.000
N 2.316 2.316 2.316
```

SG ... No. 221
Calculated volume ... 19.88 Å³ per atom
Uncorrected energy ... -1.864 eV/atom